1.
# LiMg3Al

Crystalline LiMg3Al at its relaxed geometry (PBE-GGA, Alexandria).

abc: 9.972 9.972 4.573
angles: 90.00 90.00 153.57
Fractional positions:
Li1 0.154 0.846 0.750
Li2 0.846 0.154 0.250
Mg1 0.056 0.944 0.250
Mg2 0.250 0.750 0.250
Mg3 0.442 0.558 0.250
Mg4 0.558 0.442 0.750
Mg5 0.750 0.250 0.750
Mg6 0.944 0.056 0.750
Al1 0.346 0.654 0.750
Al2 0.654 0.346 0.250

energy of formation	-42.1	meV per atom
M_tot	0.000	μB per cell
symmetry	No. 63

---

2.
# Li5Mg5Al2

Crystalline Li5Mg5Al2 at its relaxed geometry (PBE-GGA, Alexandria).

abc: 7.481 7.481 8.366
angles: 122.91 122.91 36.78
Fractional positions:
Li1 0.000 0.000 0.000
Li2 0.072 0.072 0.745
Li3 0.245 0.245 0.271
Li4 0.755 0.755 0.729
Li5 0.928 0.928 0.255
Mg1 0.320 0.320 0.993
Mg2 0.411 0.411 0.744
Mg3 0.500 0.500 0.500
Mg4 0.589 0.589 0.256
Mg5 0.680 0.680 0.007
Al1 0.161 0.161 0.515
Al2 0.839 0.839 0.485

energy of formation	-67.3	meV per atom
M_tot	0.000	μB per cell
symmetry	No. 12

---

3.
# Li2Mg8Al

Crystalline Li2Mg8Al at its relaxed geometry (PBE-GGA, Alexandria).

abc: 4.839 4.839 10.517
angles: 90.00 90.00 90.00
Fractional positions:
Li1 0.000 0.000 0.183
Li2 0.000 0.000 0.817
Mg1 0.000 0.500 0.000
Mg2 0.000 0.500 0.352
Mg3 0.000 0.500 0.648
Mg4 0.500 0.000 0.000
Mg5 0.500 0.000 0.352
Mg6 0.500 0.000 0.648
Mg7 0.500 0.500 0.170
Mg8 0.500 0.500 0.830
Al1 0.000 0.000 0.500

energy of formation	12.2	meV per atom
M_tot	0.000	μB per cell
symmetry	No. 123

---

4.
# LiMg3Al

Crystalline LiMg3Al at its relaxed geometry (PBE-GGA, Alexandria).

abc: 5.228 5.228 5.228
angles: 90.00 90.00 90.00
Fractional positions:
Li1 0.000 0.000 0.000
Mg1 0.000 0.500 0.500
Mg2 0.500 0.000 0.500
Mg3 0.500 0.500 0.000
Al1 0.500 0.500 0.500

energy of formation	343.7	meV per atom
M_tot	0.000	μB per cell
symmetry	No. 221